Density functional theory data (GGA-PBE) for a relaxed structure of Sr2Sn2Pd.

Properties
- symmetry = Amm2, No. 38
- energy above the lowest structure with this stoichiometry (meV/atom) = 71
- total magnetization (μB per atom) = 0.00
- DFT total energy (eV/atom) = -3.9543
- formation enthalpy at 0 K (kJ per mole of atoms) = -61.93

a = 4.362 Å, b = 7.660 Å, c = 7.660 Å
α = 35.18°, β = 90.00°, γ = 90.00°
Fractional coordinates of all 5 atoms:
Sr (0.000, 0.000, 0.000)
Sr (0.000, 0.251, 0.251)
Sn (0.500, 0.619, 0.619)
Sn (0.500, 0.826, 0.826)
Pd (0.500, 0.426, 0.426)